This record from Alexandria via LeMat-Bulk describes an optimized crystal structure of NpTiO2. The functional is PBE.

## Properties
Space group ... R-3m (166)
Density ... 9683 kg/m3
Formation energy (no corrections) ... -209.2 kJ per mole of atoms
Total magnetic moment ... 3.230 μB/f.u.

```
NpTiO2
1.0
3.0549 0.0000 0.0000
1.5275 2.6456 0.0000
1.5275 0.8819 6.7231
Np O Ti
1 2 1
Cartesian
0.0000 0.0000 0.0000
1.5275 0.8819 4.4045
4.5824 2.6456 2.3185
3.0549 1.7638 3.3615
```



This record from Alexandria via LeMat-Bulk describes an optimized crystal structure of TaGaNiIr. The functional is PBE.

## Properties
Space group ... I-4m2 (119)
Density ... 14303 kg/m3
Total magnetic moment ... 0.849 μB/f.u.
Formation enthalpy at 0 K ... -1.8 eV per formula unit

```
TaGaNiIr
1.0
4.0294 0.0000 0.0000
0.0000 4.0296 0.0000
-2.0147 -2.0148 3.5864
Ta Ga Ni Ir
1 1 1 1
Cartesian
0.0000 2.0150 1.7932
2.0147 -0.0001 1.7932
0.0000 0.0000 3.5863
2.0147 2.0146 3.5863
```



This record from Alexandria via LeMat-Bulk describes an optimized crystal structure of VMoPd5. The functional is PBE.

## Properties
Space group ... C2/c (15)
Density ... 10122 kg/m3
Total magnetic moment ... 0.000 μB/f.u.
Formation enthalpy at 0 K ... 0.9 eV per formula unit

```
VMoPd5
1.0
5.2515 0.6025 -0.3590
2.2374 4.7891 -0.3590
1.8967 1.3655 9.1776
V Mo Pd
2 2 10
Cartesian
0.0000 0.0000 0.0000
0.9484 0.6828 4.5888
4.8232 2.1974 1.9354
4.5624 4.5596 6.5242
5.9126 4.6568 1.1099
3.8773 2.4055 4.7014
7.2404 4.8125 5.6987
3.3440 4.2519 1.9354
6.8227 4.5260 8.3470
2.5630 2.2311 0.1126
6.0416 2.5051 6.5242
2.1452 1.9445 2.7609
5.5083 4.3515 3.7582
3.4730 2.1002 7.3497
```



This record from Alexandria via LeMat-Bulk describes an optimized crystal structure of Fe3ReAs. The functional is PBE.

## Properties
Space group ... Pm-3m (221)
Density ... 9791 kg/m3
Total magnetic moment ... 0.000 μB/f.u.
Formation enthalpy at 0 K ... 7.1 eV per formula unit

```
Fe3ReAs
1.0
4.1737 0.0000 0.0000
0.0000 4.1737 0.0000
0.0000 0.0000 4.1737
Re As Fe
1 1 3
Cartesian
2.0868 2.0868 2.0868
0.0000 0.0000 0.0000
0.0000 2.0868 0.0000
0.0000 0.0000 2.0868
2.0868 0.0000 0.0000
```



This record from Alexandria via LeMat-Bulk describes an optimized crystal structure of La2PRh. The functional is PBE.

## Properties
Space group ... I-42d (122)
Density ... 4977 kg/m3
Total magnetic moment ... 0.000 μB/f.u.
Formation enthalpy at 0 K ... -2.4 eV per formula unit

```
La2PRh
1.0
6.4469 0.0000 0.0000
0.0000 6.4469 0.0000
3.2235 3.2235 6.6091
P Rh La
2 2 4
Cartesian
3.2235 3.2235 0.0000
3.2235 6.4469 3.3046
0.0000 0.0000 0.0000
6.4469 3.2235 3.3046
4.9159 1.6117 1.6523
1.5310 4.8352 1.6523
4.8352 4.7545 4.9568
8.0586 8.1394 4.9568
```



This record from Alexandria via LeMat-Bulk describes an optimized crystal structure of BaMg4Rh. The functional is PBE.

## Properties
Space group ... F-43m (216)
Density ... 3872 kg/m3
Total magnetic moment ... 0.000 μB/f.u.
Formation enthalpy at 0 K ... 0.7 eV per formula unit

```
BaMg4Rh
1.0
-4.6477 -3.5948 0.4526
-4.8753 1.0788 -3.1299
-1.4524 -3.5190 -4.4984
Ba Mg Rh
1 4 1
Cartesian
0.0000 0.0000 0.0000
-6.4240 -4.0433 -2.4831
-4.8527 -4.0061 -4.9178
-6.5359 -1.7451 -4.2448
-4.1384 -2.2756 -2.7057
-8.2316 -4.5262 -5.3818
```



This record from Alexandria via LeMat-Bulk describes an optimized crystal structure of TmTlCuRh. The functional is PBE.

## Properties
Space group ... F-43m (216)
Density ... 12008 kg/m3
Total magnetic moment ... 0.000 μB/f.u.
Formation enthalpy at 0 K ... -1.2 eV per formula unit

```
TmTlCuRh
1.0
4.7261 0.0000 0.0000
2.3630 4.0929 0.0000
2.3630 1.3643 3.8588
Tl Tm Rh Cu
1 1 1 1
Cartesian
4.7261 2.7286 1.9294
0.0000 0.0000 0.0000
7.0891 4.0929 2.8941
2.3630 1.3643 0.9647
```



This record from Alexandria via LeMat-Bulk describes an optimized crystal structure of LaGa2P. The functional is PBE.

## Properties
Space group ... I-42d (122)
Density ... 5633 kg/m3
Total magnetic moment ... 0.000 μB/f.u.
Formation enthalpy at 0 K ... -1.9 eV per formula unit

```
LaGa2P
1.0
7.8186 0.0000 0.0000
0.0000 7.8186 0.0000
3.9093 3.9093 2.9830
P Ga La
2 4 2
Cartesian
3.9093 3.9093 0.0000
3.9093 7.8186 1.4915
5.4118 1.9547 0.7458
2.4068 5.8640 0.7458
5.8640 6.3161 2.2373
9.7733 9.3212 2.2373
0.0000 0.0000 0.0000
7.8186 3.9093 1.4915
```



This record from Alexandria via LeMat-Bulk describes an optimized crystal structure of Nd2Zn3CdAu4. The functional is PBE.

## Properties
Space group ... P-4m2 (115)
Density ... 10773 kg/m3
Total magnetic moment ... 0.000 μB/f.u.
Formation enthalpy at 0 K ... -4.9 eV per formula unit

```
Nd2Zn3CdAu4
1.0
4.2433 0.0000 0.0000
0.0000 4.2433 0.0000
0.0000 0.0000 11.8561
Nd Zn Cd Au
2 3 1 4
Cartesian
2.1216 0.0000 2.8286
0.0000 2.1216 9.0275
0.0000 0.0000 5.9280
2.1216 0.0000 10.2991
0.0000 2.1216 1.5570
2.1216 2.1216 5.9280
2.1216 2.1216 0.0000
0.0000 0.0000 0.0000
2.1216 0.0000 7.7636
0.0000 2.1216 4.0924
```



This record from Alexandria via LeMat-Bulk describes an optimized crystal structure of Ac2AsPd6Au. The functional is PBE.

## Properties
Space group ... C2/m (12)
Density ... 10468 kg/m3
Total magnetic moment ... 0.000 μB/f.u.
Formation enthalpy at 0 K ... -7.0 eV per formula unit

```
Ac2AsPd6Au
1.0
-3.9135 2.8655 2.6320
2.5618 -3.5598 7.6874
2.2639 2.8678 6.0306
Ac As Pd Au
2 1 6 1
Cartesian
-1.3113 2.6954 6.6911
2.2234 -0.5220 9.6589
0.0000 0.0000 0.0000
1.2024 0.6867 6.8335
1.2489 2.2129 13.8796
3.1812 0.8007 12.5860
-2.2690 1.3728 3.7640
-0.3367 -0.0394 2.4704
-0.2902 1.4868 9.5165
-0.6759 -0.3472 5.1597
```



This record from Alexandria via LeMat-Bulk describes an optimized crystal structure of ReHg5. The functional is PBE.

## Properties
Space group ... Cmmm (65)
Density ... 12921 kg/m3
Total magnetic moment ... 0.170 μB/f.u.
Formation enthalpy at 0 K ... 2.9 eV per formula unit

```
ReHg5
1.0
1.4379 -10.8212 0.0000
1.4379 10.8212 0.0000
0.0000 0.0000 4.9112
Re Hg
1 5
Cartesian
1.4379 0.0000 2.4556
1.4379 -3.9248 0.0000
1.4379 3.9248 0.0000
0.0000 0.0000 0.0000
1.4379 8.3703 2.4556
1.4379 -8.3703 2.4556
```



This record from Alexandria via LeMat-Bulk describes an optimized crystal structure of Y2HgSe. The functional is PBE.

## Properties
Space group ... Imm2 (44)
Density ... 7065 kg/m3
Formation energy (no corrections) ... -90.3 kJ per mole of atoms
Total magnetic moment ... 0.003 μB/f.u.

```
Y2HgSe
1.0
-5.2362 -0.1584 6.2104
-1.5087 -3.8306 7.0045
4.7715 3.8453 -5.3347
Hg Se Y
1 1 2
Cartesian
-3.0418 -1.7989 5.9596
0.2467 -0.8116 3.5478
-0.3714 -0.2197 0.7277
-2.1794 0.6920 4.2526
```



This record from Alexandria via LeMat-Bulk describes an optimized crystal structure of ReMo2Os. The functional is PBE.

## Properties
Space group ... P4/mmm (123)
Density ... 15355 kg/m3
Total magnetic moment ... 0.000 μB/f.u.
Formation enthalpy at 0 K ... 0.9 eV per formula unit

```
ReMo2Os
1.0
-3.1810 1.6494 2.6880
2.3317 -1.3406 3.5819
1.4521 2.6964 0.0639
Mo Os Re
2 1 1
Cartesian
0.0000 0.0000 0.0000
-0.4246 0.1544 3.1350
-0.8644 2.1729 1.3759
1.8919 0.6779 1.8229
```



This record from Alexandria via LeMat-Bulk describes an optimized crystal structure of SmY2ErTm. The functional is PBE.

## Properties
Space group ... Cmcm (63)
Density ... 6408 kg/m3
Total magnetic moment ... 0.000 μB/f.u.
Formation enthalpy at 0 K ... 2.0 eV per formula unit

```
SmY2ErTm
1.0
7.2205 0.0000 0.0000
0.0000 8.3726 0.0000
0.0000 -4.1863 5.6959
Sm Y Er Tm
2 4 2 2
Cartesian
1.8051 4.1863 2.6107
5.4154 0.0000 3.0852
3.6103 2.5818 0.0000
0.0000 5.7909 0.0000
3.6103 5.7909 0.0000
0.0000 2.5818 0.0000
1.8051 0.0000 0.0011
5.4154 4.1863 5.6948
5.4154 4.1863 2.5406
1.8051 0.0000 3.1554
```



This record from Alexandria via LeMat-Bulk describes an optimized crystal structure of TbPr2Zn2Ga2. The functional is PBE.

## Properties
Space group ... R-3m (166)
Density ... 7035 kg/m3
Total magnetic moment ... 0.000 μB/f.u.
Formation enthalpy at 0 K ... -2.9 eV per formula unit

```
TbPr2Zn2Ga2
1.0
4.4707 0.0000 0.0000
2.2354 3.8718 0.0000
2.2354 1.2906 9.6961
Tb Pr Zn Ga
1 2 2 2
Cartesian
0.0000 0.0000 0.0000
2.2354 1.2906 6.0842
6.7061 3.8718 3.6120
4.4707 2.5812 1.6618
4.4707 2.5812 8.0344
6.7061 3.8718 7.8879
2.2354 1.2906 1.8082
```



This record from Alexandria via LeMat-Bulk describes an optimized crystal structure of Sr2TaCr. The functional is PBE.

## Properties
Space group ... Cmmm (65)
Density ... 5949 kg/m3
Total magnetic moment ... 2.660 μB/f.u.
Formation enthalpy at 0 K ... 4.6 eV per formula unit

```
Sr2TaCr
1.0
-2.3171 -2.8021 -6.5494
-3.5189 -0.6219 4.9514
-2.4472 1.6551 -1.5296
Cr Sr Ta
1 2 1
Cartesian
-2.9180 -1.7120 -0.7990
0.0000 0.0000 0.0000
-2.3822 -0.5735 -4.0395
-2.9831 0.5166 1.7109
```



This record from Alexandria via LeMat-Bulk describes an optimized crystal structure of TiZnTcNi. The functional is PBE.

## Properties
Space group ... F-43m (216)
Density ... 8119 kg/m3
Total magnetic moment ... 0.000 μB/f.u.
Formation enthalpy at 0 K ... -0.7 eV per formula unit

```
TiZnTcNi
1.0
4.2743 0.0000 0.0000
2.1371 3.7016 0.0000
2.1371 1.2339 3.4899
Ni Zn Tc Ti
1 1 1 1
Cartesian
2.1371 1.2339 0.8725
4.2743 2.4677 1.7450
6.4114 3.7016 2.6174
0.0000 0.0000 0.0000
```



This record from Alexandria via LeMat-Bulk describes an optimized crystal structure of K2PI6. The functional is PBE.

## Properties
Space group ... P2_1/c (14)
Density ... 3940 kg/m3
Formation energy (no corrections) ... -57.7 kJ per mole of atoms
Total magnetic moment ... 0.000 μB/f.u.

```
K2PI6
1.0
8.2822 0.0000 0.1192
0.0000 8.0078 0.0000
-0.9176 0.0000 11.0516
K P I
4 2 12
Cartesian
7.4724 3.4083 8.6063
3.5744 7.4122 8.1500
3.7902 0.5956 3.0209
-0.1079 4.5995 2.5645
4.1411 4.0039 0.0596
-0.4588 0.0000 5.5258
7.3892 0.3236 2.9644
6.2276 5.7404 5.6789
5.4640 5.5764 10.5947
5.5828 1.5725 6.1615
4.8192 1.7365 11.0773
4.5753 4.3275 2.7403
-0.0246 7.6842 8.2065
1.1370 2.2674 5.4919
1.9005 2.4314 0.5761
1.7818 6.4353 5.0093
2.5453 6.2713 0.0935
2.7893 3.6803 8.4306
```



This record from Alexandria via LeMat-Bulk describes an optimized crystal structure of ThScIn. The functional is PBE.

## Properties
Space group ... P6_3/mmc (194)
Density ... 8164 kg/m3
Total magnetic moment ... 0.000 μB/f.u.
Formation enthalpy at 0 K ... -0.9 eV per formula unit

```
ThScIn
1.0
5.2857 -0.0006 0.0000
-2.6423 4.5778 0.0000
0.0000 0.0000 6.5879
Th Sc In
2 2 2
Cartesian
-1.3212 2.2889 0.0000
-1.3212 2.2889 3.2940
1.3211 3.8148 4.9410
1.3222 0.7624 1.6470
1.3207 0.7632 4.9410
1.3226 3.8140 1.6470
```



This record from Alexandria via LeMat-Bulk describes an optimized crystal structure of HoTmScRu. The functional is PBE.

## Properties
Space group ... F-43m (216)
Density ... 8965 kg/m3
Total magnetic moment ... 0.001 μB/f.u.
Formation enthalpy at 0 K ... -0.3 eV per formula unit

```
HoTmScRu
1.0
-4.9506 0.1354 0.7531
-2.9800 -3.2771 -2.3396
-2.2386 -3.6496 2.6006
Sc Ru Tm Ho
1 1 1 1
Cartesian
-7.6269 -5.0935 0.7606
-2.5423 -1.6978 0.2535
0.0000 0.0000 0.0000
-5.0846 -3.3956 0.5070
```